Hg3MoSe2F6 | PBE+U | relaxed

```
data_Hg3MoSe2F6
_chemical_formula_sum 'Hg6 Mo2 Se4 F12'
_cell_length_a 13.8480
_cell_length_b 7.1932
_cell_length_c 5.1861
_cell_angle_alpha 90.00
_cell_angle_beta 106.78
_cell_angle_gamma 90.00
_symmetry_space_group_name_H-M 'C 1 2/m 1'
_symmetry_Int_Tables_number 12
_symmetry_space_group_name_Hall '-C 2y'
loop_
_atom_site_label
_atom_site_fract_x
_atom_site_fract_y
_atom_site_fract_z
Hg1 0.0000 0.0000 0.0000
Hg2 0.2500 0.2500 0.5000
Mo1 0.0000 0.5000 0.5000
Se1 0.1914 0.0000 0.1439
F1 0.0827 0.2911 0.7151
F2 0.0945 0.5000 0.2749
```

Total magnetization ... 2.00 μB per formula unit
Raw total energy ... -3.755 eV/atom